Material: TcIr4Ru3
Method: DFT, GGA-PBE
State: optimized geometry

Computed properties:
**Volume**: 15.87 A^3/atom
**Space group**: C2/m (12)
**Energy of formation**: 0.44 eV per atom
**Spin magnetization**: 0.00 μB/atom

Structure (extended XYZ):
```
8
Lattice="7.1491 -1.3469 0.0000 7.1491 1.3469 0.0000 -0.6634 0.0000 6.5948" Properties=species:S:1:pos:R:3 pbc="T T T"
Tc 0.0000 0.0000 0.0000
Ir 1.8226 0.0000 6.2588
Ir 4.9859 0.0000 4.7460
Ir 8.6489 0.0000 1.8488
Ir 11.8122 0.0000 0.3360
Ru -0.3317 0.0000 3.2974
Ru 2.3553 0.0000 3.9128
Ru 11.2795 0.0000 2.6819
```